Crystalline NpGaNi at its relaxed geometry, computed with PBE-GGA.

POSCAR file:
```
NpGaNi
1.0
-1.455 1.455 5.754
1.455 -1.455 5.754
1.455 1.455 -5.754
Np Ga Ni
1 1 1
Direct
0.000 0.000 0.000 Np
0.705 0.705 0.000 Ga
0.325 0.325 0.000 Ni
```

Summary:
DOS(E_F) in states/eV per atom: 1.376
Crystal system: tetragonal
Theoretical density in g/cm3: 12.5
Size of the total moment in μB/f.u.: 3.4
Space-group type: No. 107
ΔE_f in eV per atom: -0.138

=====

Crystalline BaAs3 at its relaxed geometry, computed with PBE-GGA.

POSCAR file:
```
BaAs3
1.0
4.121 -9.633 0.000
4.121 9.633 0.000
0.000 0.000 4.279
Ba As
2 6
Direct
0.232 0.768 0.750 Ba
0.768 0.232 0.250 Ba
0.202 0.498 0.250 As
0.405 0.595 0.750 As
0.498 0.202 0.750 As
0.502 0.798 0.250 As
0.595 0.405 0.250 As
0.798 0.502 0.750 As
```

Summary:
DOS(E_F) in states/eV per atom: 0.188
Crystal system: orthorhombic
Theoretical density in g/cm3: 3.5
Size of the total moment in μB/f.u.: 0.0
Space-group type: No. 63
ΔE_f in eV per atom: -0.232

=====

Crystalline Nb2Ga2Ni at its relaxed geometry, computed with PBE-GGA.

POSCAR file:
```
Nb2Ga2Ni
1.0
6.206 0.000 0.000
0.000 6.206 0.000
0.000 0.000 4.099
Nb Ga Ni
4 4 2
Direct
0.163 0.337 0.000 Nb
0.337 0.837 0.000 Nb
0.663 0.163 0.000 Nb
0.837 0.663 0.000 Nb
0.143 0.643 0.500 Ga
0.357 0.143 0.500 Ga
0.643 0.857 0.500 Ga
0.857 0.357 0.500 Ga
0.000 0.000 0.500 Ni
0.500 0.500 0.500 Ni
```

Summary:
DOS(E_F) in states/eV per atom: 1.026
Crystal system: tetragonal
Theoretical density in g/cm3: 8.1
Size of the total moment in μB/f.u.: 0.0
Space-group type: No. 127
ΔE_f in eV per atom: -0.239